! SmScI PBE optimized geometry; values from VASP
&SYSTEM
  ibrav = 0, nat = 3, ntyp = 3
/
ATOMIC_SPECIES
Sm 150.36 Sm.upf
Sc 44.96 Sc.upf
I 126.90 I.upf
ATOMIC_POSITIONS crystal
Sm 0.000 0.000 0.000
Sc 0.667 0.333 0.495
I 0.333 0.667 0.473
CELL_PARAMETERS angstrom
5.177 0.000 0.000
-2.588 4.483 0.000
0.000 0.000 3.755
! Fermi-level density of states: 3.72 states/eV per cell
! Total magnetic moment: 0.00 μB per cell
! Formation energy from raw total energies: -153.8 meV per atom
! Space group: P3m1, No. 156